(1)
Density functional theory data (SCAN) for a crystal of Na2Pr4Br9NO relaxed with PBEsol.

Values from the calculation:
Energy relative to the elements, uncorrected in eV per atom: -2.218
Magnetic moment in μB per cell: 0.00
Volume in Å³/f.u.: 462.81
DOS at the Fermi energy in states/eV/cell: 0.00

a = 8.5212 Å, b = 11.6805 Å, c = 9.6861 Å
α = 90.00°, β = 106.24°, γ = 90.00°
Space group P2_1 (No. 4)
Asymmetric unit:
1 Na 0.2192 0.0000 0.4296 (multiplicity 2)
2 Na 0.2196 0.5395 0.4299 (multiplicity 2)
3 Pr 0.2884 0.0553 0.9544 (multiplicity 2)
4 Pr 0.2955 0.4677 0.9553 (multiplicity 2)
5 Pr 0.3927 0.7677 0.7888 (multiplicity 2)
6 Pr 0.4054 0.7674 0.1646 (multiplicity 2)
7 Br 0.0963 0.9267 0.6875 (multiplicity 2)
8 Br 0.0998 0.6080 0.6938 (multiplicity 2)
9 Br 0.1058 0.9163 0.1225 (multiplicity 2)
10 Br 0.1083 0.6146 0.1172 (multiplicity 2)
11 Br 0.2297 0.2650 0.7422 (multiplicity 2)
12 Br 0.2477 0.2653 0.1442 (multiplicity 2)
13 Br 0.3590 0.7693 0.4676 (multiplicity 2)
14 Br 0.4957 0.5151 0.6994 (multiplicity 2)
15 Br 0.4968 0.0192 0.6999 (multiplicity 2)
16 N 0.4404 0.8892 0.9855 (multiplicity 2)
17 O 0.4439 0.6389 0.9859 (multiplicity 2)


(2)
Density functional theory data (SCAN) for a crystal of NbBrN3 relaxed with PBEsol.

Values from the calculation:
Energy relative to the elements, uncorrected in eV per atom: 1.063
Magnetic moment in μB per cell: 3.95
Volume in Å³/f.u.: 70.05
DOS at the Fermi energy in states/eV/cell: 3.87

a = 4.1222 Å, b = 4.1222 Å, c = 4.1222 Å
α = 90.00°, β = 90.00°, γ = 90.00°
Space group Pm-3m (No. 221)
Asymmetric unit:
1 Nb 0.0000 0.0000 0.0000 (multiplicity 1)
2 Br 0.5000 0.5000 0.5000 (multiplicity 1)
3 N 0.0000 0.0000 0.5000 (multiplicity 3)


(3)
Density functional theory data (SCAN) for a crystal of NbBrN3 relaxed with PBEsol.

Values from the calculation:
Energy relative to the elements, uncorrected in eV per atom: 2.100
Magnetic moment in μB per cell: 1.03
Volume in Å³/f.u.: 54.78
DOS at the Fermi energy in states/eV/cell: 1.75

a = 3.7979 Å, b = 3.7979 Å, c = 3.7979 Å
α = 90.00°, β = 90.00°, γ = 90.00°
Space group Pm-3m (No. 221)
Asymmetric unit:
1 Nb 0.0000 0.0000 0.0000 (multiplicity 1)
2 Br 0.5000 0.5000 0.5000 (multiplicity 1)
3 N 0.0000 0.5000 0.5000 (multiplicity 3)